Record 1
Crystalline KSb2W at its relaxed geometry. Source: Alexandria via LeMat-Bulk, functional PBE-GGA.

Cell and atoms, written as POSCAR:
```
KSb2W
1.0
-2.2081 -0.4271 5.5646
-3.4780 -4.7204 1.2824
5.3446 0.9668 -2.5542
K Sb W
1 2 1
Direct
0.7500 0.2500 0.5000 K
0.0000 0.0000 0.0000 Sb
0.2500 0.7500 0.5000 Sb
0.5000 0.5000 0.0000 W
```

Computed properties:
* density of states at the Fermi level: 0.64 states/eV/atom
* energy: -4.596 eV/atom
* formation energy from raw total energies: 0.98 eV/atom

---

Record 2
Crystalline KSb2W at its relaxed geometry. Source: Alexandria via LeMat-Bulk, functional PBE-GGA.

Cell and atoms, written as POSCAR:
```
KSb2W
1.0
7.5386 -0.0332 -0.0917
-3.5442 4.4778 0.0391
0.4502 1.0299 2.8444
K Sb W
1 2 1
Direct
0.5000 0.5000 0.0000 K
0.0000 0.0000 0.0000 Sb
0.5000 0.0000 0.5000 Sb
0.0000 0.5000 0.5000 W
```

Computed properties:
* density of states at the Fermi level: 0.54 states/eV/atom
* energy: -4.722 eV/atom
* formation energy from raw total energies: 0.85 eV/atom

---

Record 3
Crystalline KSb2W at its relaxed geometry. Source: Alexandria via LeMat-Bulk, functional PBE-GGA.

Cell and atoms, written as POSCAR:
```
KSb2W
1.0
-1.2904 -1.3027 -2.4008
2.7066 -0.9672 -0.9300
-1.4323 -9.9285 6.1573
K Sb W
1 2 1
Direct
0.5000 0.5000 0.7327 K
0.0000 0.0000 0.9866 Sb
0.5000 0.5000 0.3044 Sb
0.0000 0.0000 0.4763 W
```

Computed properties:
* density of states at the Fermi level: 0.85 states/eV/atom
* energy: -4.848 eV/atom
* formation energy from raw total energies: 0.73 eV/atom

---

Record 4
Crystalline KSb2W at its relaxed geometry. Source: Alexandria via LeMat-Bulk, functional PBE-GGA.

Cell and atoms, written as POSCAR:
```
KSb2W
1.0
0.3548 1.5901 -3.2408
-2.5312 -0.4919 -2.5511
-5.3797 7.8703 1.2464
K Sb W
1 2 1
Direct
0.7507 0.7507 0.7505 K
0.9807 0.9807 0.0561 Sb
0.1855 0.1855 0.4437 Sb
0.5831 0.5831 0.2497 W
```

Computed properties:
* density of states at the Fermi level: 0.28 states/eV/atom
* energy: -5.425 eV/atom
* formation energy from raw total energies: 0.15 eV/atom

---

Question: energy of number 2 (KSb2W)?
Answer: -4.722 eV/atom

---

Question: Which value of density of states at the Fermi level does entry 3 give?
Answer: 0.85 states/eV/atom

---

Question: The highest energy belongs to which entry?
Answer: number 1

---

Question: Which of these has the highest formation energy from raw total energies?
Answer: number 1